(1)
Entry from the Alexandria database: an optimized crystal structure of BeSb2Ru (PBEsol).

Results
Calculated total energy = -5.28 eV per atom
E_form (uncorrected) = 0.539 eV/atom
D(E_F) = 0.48 states/eV per atom

```
data_BeSb2Ru
_chemical_formula_sum 'Be2 Sb4 Ru2'
_cell_length_a 3.965
_cell_length_b 3.965
_cell_length_c 8.900
_cell_angle_alpha 90.00
_cell_angle_beta 90.00
_cell_angle_gamma 90.00
_space_group_name_H-M_alt 'I -4 m 2'
_space_group_IT_number 119
_space_group_name_Hall 'I -4 -2'
loop_
_atom_site_label
_atom_site_fract_x
_atom_site_fract_y
_atom_site_fract_z
_atom_site_occupancy
Be1 0.000 0.000 0.000 1
Sb1 0.000 0.000 0.500 1
Sb2 0.000 0.500 0.750 1
Ru1 0.000 0.500 0.250 1
```

(2)
Entry from the Alexandria database: an optimized crystal structure of CdNiTeN2 (PBEsol).

Results
Calculated total energy = -4.46 eV per atom
E_form (uncorrected) = 1.126 eV/atom
D(E_F) = 0.65 states/eV per atom

```
data_CdNiTeN2
_chemical_formula_sum 'Cd1 Ni1 Te1 N2'
_cell_length_a 3.872
_cell_length_b 3.872
_cell_length_c 5.280
_cell_angle_alpha 90.00
_cell_angle_beta 90.00
_cell_angle_gamma 90.00
_space_group_name_H-M_alt 'P 4/m m m'
_space_group_IT_number 123
_space_group_name_Hall '-P 4 2'
loop_
_atom_site_label
_atom_site_fract_x
_atom_site_fract_y
_atom_site_fract_z
_atom_site_occupancy
Cd1 0.000 0.000 0.000 1
Ni1 0.500 0.500 0.500 1
Te1 0.500 0.500 0.000 1
N1 0.000 0.500 0.500 1
```

(3)
Entry from the Alexandria database: an optimized crystal structure of SbAs2W (PBEsol).

Results
Calculated total energy = -6.78 eV per atom
E_form (uncorrected) = 0.368 eV/atom
D(E_F) = 0.51 states/eV per atom

```
data_SbAs2W
_chemical_formula_sum 'Sb2 As4 W2'
_cell_length_a 4.460
_cell_length_b 3.418
_cell_length_c 9.835
_cell_angle_alpha 90.00
_cell_angle_beta 90.00
_cell_angle_gamma 90.00
_space_group_name_H-M_alt 'A m m 2'
_space_group_IT_number 38
loop_
_space_group_symop_operation_xyz
'x,y,z'
'-x,-y,z'
'-x,y,z'
'x,-y,z'
'x,y+1/2,z+1/2'
'-x,-y+1/2,z+1/2'
'-x,y+1/2,z+1/2'
'x,-y+1/2,z+1/2'
loop_
_atom_site_label
_atom_site_fract_x
_atom_site_fract_y
_atom_site_fract_z
_atom_site_occupancy
Sb1 0.000 0.000 0.000 1
As1 0.000 0.000 0.267 1
As2 0.500 0.000 0.702 1
W1 0.500 0.000 0.408 1
```

(4)
Entry from the Alexandria database: an optimized crystal structure of Tc3IBr (PBEsol).

Results
Calculated total energy = -5.65 eV per atom
E_form (uncorrected) = 1.842 eV/atom
D(E_F) = 1.57 states/eV per atom

```
data_Tc3IBr
_chemical_formula_sum 'Tc3 I1 Br1'
_cell_length_a 4.580
_cell_length_b 4.580
_cell_length_c 4.580
_cell_angle_alpha 90.00
_cell_angle_beta 90.00
_cell_angle_gamma 90.00
_space_group_name_H-M_alt 'P m -3 m'
_space_group_IT_number 221
_space_group_name_Hall '-P 4 2 3'
loop_
_atom_site_label
_atom_site_fract_x
_atom_site_fract_y
_atom_site_fract_z
_atom_site_occupancy
Tc1 0.000 0.000 0.500 1
I1 0.500 0.500 0.500 1
Br1 0.000 0.000 0.000 1
```

(5)
Entry from the Alexandria database: an optimized crystal structure of MgZnAu2N (PBEsol).

Results
Calculated total energy = -2.30 eV per atom
E_form (uncorrected) = 1.639 eV/atom
D(E_F) = 0.30 states/eV per atom

```
data_MgZnAu2N
_chemical_formula_sum 'Mg1 Zn1 Au2 N1'
_cell_length_a 4.939
_cell_length_b 4.939
_cell_length_c 5.162
_cell_angle_alpha 90.00
_cell_angle_beta 90.00
_cell_angle_gamma 90.00
_space_group_name_H-M_alt 'P 4/m m m'
_space_group_IT_number 123
_space_group_name_Hall '-P 4 2'
loop_
_atom_site_label
_atom_site_fract_x
_atom_site_fract_y
_atom_site_fract_z
_atom_site_occupancy
Mg1 0.000 0.000 0.000 1
Zn1 0.000 0.000 0.500 1
Au1 0.000 0.500 0.000 1
N1 0.500 0.500 0.500 1
```

(6)
Entry from the Alexandria database: an optimized crystal structure of Si4Ir (PBEsol).

Results
Calculated total energy = -6.29 eV per atom
E_form (uncorrected) = 0.277 eV/atom
D(E_F) = 0.63 states/eV per atom

```
data_Si4Ir
_chemical_formula_sum 'Si8 Ir2'
_cell_length_a 3.215
_cell_length_b 3.215
_cell_length_c 14.496
_cell_angle_alpha 90.00
_cell_angle_beta 90.00
_cell_angle_gamma 90.00
_space_group_name_H-M_alt 'I 4/m m m'
_space_group_IT_number 139
_space_group_name_Hall '-I 4 2'
loop_
_atom_site_label
_atom_site_fract_x
_atom_site_fract_y
_atom_site_fract_z
_atom_site_occupancy
Si1 0.000 0.000 0.093 1
Si2 0.000 0.500 0.250 1
Ir1 0.000 0.000 0.500 1
```

(7)
Entry from the Alexandria database: an optimized crystal structure of OsBrO3 (PBEsol).

Results
Calculated total energy = -4.38 eV per atom
E_form (uncorrected) = 1.589 eV/atom
D(E_F) = 1.00 states/eV per atom

```
data_OsBrO3
_chemical_formula_sum 'Os1 Br1 O3'
_cell_length_a 4.007
_cell_length_b 4.007
_cell_length_c 4.007
_cell_angle_alpha 90.00
_cell_angle_beta 90.00
_cell_angle_gamma 90.00
_space_group_name_H-M_alt 'P m -3 m'
_space_group_IT_number 221
_space_group_name_Hall '-P 4 2 3'
loop_
_atom_site_label
_atom_site_fract_x
_atom_site_fract_y
_atom_site_fract_z
_atom_site_occupancy
Os1 0.000 0.000 0.000 1
Br1 0.500 0.500 0.500 1
O1 0.000 0.500 0.500 1
```

(8)
Entry from the Alexandria database: an optimized crystal structure of RbMg2BiAu (PBEsol).

Results
Calculated total energy = -1.07 eV per atom
D(E_F) = 0.97 states/eV per atom

```
data_RbMg2BiAu
_chemical_formula_sum 'Rb1 Mg2 Bi1 Au1'
_cell_length_a 6.044
_cell_length_b 6.044
_cell_length_c 6.064
_cell_angle_alpha 90.00
_cell_angle_beta 90.00
_cell_angle_gamma 90.00
_space_group_name_H-M_alt 'P 4/m m m'
_space_group_IT_number 123
_space_group_name_Hall '-P 4 2'
loop_
_atom_site_label
_atom_site_fract_x
_atom_site_fract_y
_atom_site_fract_z
_atom_site_occupancy
Rb1 0.000 0.000 0.000 1
Mg1 0.000 0.500 0.000 1
Bi1 0.000 0.000 0.500 1
Au1 0.500 0.500 0.500 1
```